1.
First-principles (PBE) data for a relaxed CdWSe2 crystal, as listed in Alexandria via LeMat-Bulk.

## Properties
As for the formation energy (no corrections): 0.18 eV per atom. Its density of states at the Fermi level is 2.73 states/eV/cell. The value obtained for the total energy is -5.0340 eV/atom.

abc: 3.345 2.736 10.572
angles: 75.79 90.00 90.00
Fractional positions:
Cd: 0.500 0.750 0.750
Se: 0.000 0.430 0.060
Se: 0.000 0.070 0.440
W: 0.500 0.250 0.250



2.
First-principles (PBE) data for a relaxed PuGe2Rh crystal, as listed in Alexandria via LeMat-Bulk.

## Properties
The formation energy is -0.350 eV per atom. Its density of states at the Fermi level is 7.98 states/eV/cell. The value obtained for the total energy is -8.0794 eV/atom.

abc: 4.351 4.110 4.110
angles: 90.00 90.00 90.00
Fractional positions:
Ge: 0.000 0.000 0.500
Ge: 0.000 0.500 0.000
Rh: 0.500 0.000 0.000
Pu: 0.500 0.500 0.500



3.
First-principles (PBE) data for a relaxed MgCd2HgSe4 crystal, as listed in Alexandria via LeMat-Bulk.

## Properties
As for the formation energy (no corrections): -0.67 eV per atom. The value obtained for the total energy is -2.8827 eV/atom.

abc: 6.153 6.153 7.554
angles: 114.04 114.04 90.00
Fractional positions:
Mg: 0.500 0.500 0.001
Cd: 0.750 0.250 0.500
Cd: 0.250 0.750 0.500
Hg: 0.000 0.000 0.999
Se: 0.618 0.618 0.754
Se: 0.381 0.865 0.247
Se: 0.865 0.381 0.247
Se: 0.135 0.135 0.754



Please write out number 3 again, unchanged.
First-principles (PBE) data for a relaxed MgCd2HgSe4 crystal, as listed in Alexandria via LeMat-Bulk.

## Properties
As for the formation energy (no corrections): -0.67 eV per atom. The value obtained for the total energy is -2.8827 eV/atom.

abc: 6.153 6.153 7.554
angles: 114.04 114.04 90.00
Fractional positions:
Mg: 0.500 0.500 0.001
Cd: 0.750 0.250 0.500
Cd: 0.250 0.750 0.500
Hg: 0.000 0.000 0.999
Se: 0.618 0.618 0.754
Se: 0.381 0.865 0.247
Se: 0.865 0.381 0.247
Se: 0.135 0.135 0.754